Crystalline BaAg2RuN at its relaxed geometry, computed with GGA-PBEsol.

Structure (POSCAR):
```
BaAg2RuN
1.0
5.2621 0.0000 0.0000
0.0000 5.2621 0.0000
0.0000 0.0000 3.7553
Ba Ag Ru N
1 2 1 1
direct
0.0000 0.0000 0.0000 Ba
0.0000 0.5000 0.5000 Ag
0.5000 0.0000 0.5000 Ag
0.5000 0.5000 0.5000 Ru
0.5000 0.5000 0.0000 N
```

Results
Calculated total energy, eV/atom: -5.293
Raw formation energy, eV/atom: 0.201
SG: P4/mmm, No. 123